Entry 1:
# Ag5Pt | Alexandria via LeMat-Bulk | GGA-PBEsol | optimized geometry
data_Ag5Pt
_space_group_name_H-M_alt 'P 1'
_space_group_IT_number 1
_space_group_name_Hall 'P 1'
_cell_length_a 4.0135
_cell_length_b 4.0380
_cell_length_c 6.3206
_cell_angle_alpha 71.37
_cell_angle_beta 90.00
_cell_angle_gamma 90.00
loop_
_atom_site_label
_atom_site_type_symbol
_atom_site_fract_x
_atom_site_fract_y
_atom_site_fract_z
Pt1 Pt 0.0000 0.0000 0.0000
Ag1 Ag 0.0000 0.6657 0.6687
Ag2 Ag 0.5000 0.5000 0.0000
Ag3 Ag 0.0000 0.3343 0.3313
Ag4 Ag 0.5000 0.1650 0.6700
Ag5 Ag 0.5000 0.8350 0.3300
# **DFT formation energy**: 0.0039 eV per atom
# **N(E_F)**: 0.2620 states/eV/atom
# **Size of the total moment**: 0.0 μB per cell
# **E_tot**: -3.916 eV/atom

Entry 2:
# Ag7Pt5 | Alexandria via LeMat-Bulk | GGA-PBEsol | optimized geometry
data_Ag7Pt5
_space_group_name_H-M_alt 'P 1'
_space_group_IT_number 1
_space_group_name_Hall 'P 1'
_cell_length_a 4.8640
_cell_length_b 4.8633
_cell_length_c 9.3599
_cell_angle_alpha 85.13
_cell_angle_beta 79.65
_cell_angle_gamma 60.07
loop_
_atom_site_label
_atom_site_type_symbol
_atom_site_fract_x
_atom_site_fract_y
_atom_site_fract_z
Pt1 Pt 0.8416 0.3414 0.4998
Pt2 Pt 0.9105 0.6668 0.2517
Pt3 Pt 0.2401 0.0071 0.2519
Pt4 Pt 0.0823 0.3270 0.7486
Pt5 Pt 0.4242 0.6560 0.7480
Ag1 Ag 0.7526 0.9946 0.7495
Ag2 Ag 0.5788 0.3360 0.2503
Ag3 Ag 0.5040 0.0040 0.5002
Ag4 Ag 0.6641 0.6665 0.0001
Ag5 Ag 0.0029 0.9950 0.0001
Ag6 Ag 0.1717 0.6717 0.5000
Ag7 Ag 0.3272 0.3338 0.9998
# **DFT formation energy**: 0.0219 eV per atom
# **N(E_F)**: 0.5639 states/eV/atom
# **Size of the total moment**: 0.0 μB per cell
# **E_tot**: -4.811 eV/atom

| no. | ρ (Mg/m³) |
| --- | --- |
| 1 | 12.564 |
| 2 | 15.224 |